Material: Ce4GeH3Rh12
Method: DFT, GGA-PBE
State: optimized geometry

The structure belongs to space group Im-3m (No. 229); the cell edges are 8.428, 8.428 and 8.428 Å and the angles 90.00°, 90.00° and 90.00°. The inequivalent atoms are Ce at (0.250, 0.250, 0.250), Ge at (0.000, 0.000, 0.000), H at (0.000, 0.000, 0.500), Rh at (0.000, 0.000, 0.281) and Rh at (0.000, 0.250, 0.500).

The value obtained for the total magnetic moment is 0.00 μB/f.u. The value obtained for the energy is -276.7 eV for the cell shown.